Record 1
# PBE-GGA LaHg2Pd, optimized geometry
# - Mass density: 11.34 g/cm3
# - N(E_F): 3.88 states/eV/cell
# - ΔE_f: -0.463 eV per atom
data_LaHg2Pd
_space_group_name_H-M_alt 'P 1'
_space_group_IT_number 1
_space_group_name_Hall 'P 1'
_cell_length_a 5.1165
_cell_length_b 5.1165
_cell_length_c 5.1165
_cell_angle_alpha 60.00
_cell_angle_beta 60.00
_cell_angle_gamma 60.00
loop_
_atom_site_label
_atom_site_type_symbol
_atom_site_fract_x
_atom_site_fract_y
_atom_site_fract_z
_atom_site_occupancy
Hg1 Hg 0.2500 0.2500 0.2500 1
Hg2 Hg 0.7500 0.7500 0.7500 1
Pd1 Pd 0.0000 0.0000 0.0000 1
La1 La 0.5000 0.5000 0.5000 1

---

Record 2
# PBE-GGA La2Hg3Pd4, optimized geometry
# - Mass density: 10.91 g/cm3
# - N(E_F): 7.53 states/eV/cell
# - ΔE_f: -0.580 eV per atom
data_La2Hg3Pd4
_space_group_name_H-M_alt 'P 1'
_space_group_IT_number 1
_space_group_name_Hall 'P 1'
_cell_length_a 5.9306
_cell_length_b 7.5169
_cell_length_c 9.3897
_cell_angle_alpha 90.00
_cell_angle_beta 108.41
_cell_angle_gamma 90.00
loop_
_atom_site_label
_atom_site_type_symbol
_atom_site_fract_x
_atom_site_fract_y
_atom_site_fract_z
_atom_site_occupancy
La1 La 0.8902 0.4231 0.7804 1
La2 La 0.6098 0.9231 0.2196 1
La3 La 0.3902 0.0769 0.7804 1
La4 La 0.1098 0.5769 0.2196 1
Hg1 Hg 0.5000 0.5000 0.0000 1
Hg2 Hg 0.9868 0.2500 0.4737 1
Hg3 Hg 0.0000 0.0000 0.0000 1
Hg4 Hg 0.4868 0.2500 0.4737 1
Hg5 Hg 0.0132 0.7500 0.5263 1
Hg6 Hg 0.5132 0.7500 0.5263 1
Pd1 Pd 0.1589 0.9736 0.3177 1
Pd2 Pd 0.6734 0.7500 0.8468 1
Pd3 Pd 0.8411 0.0264 0.6823 1
Pd4 Pd 0.1734 0.7500 0.8468 1
Pd5 Pd 0.3266 0.2500 0.1532 1
Pd6 Pd 0.6589 0.5264 0.3177 1
Pd7 Pd 0.3411 0.4736 0.6823 1
Pd8 Pd 0.8266 0.2500 0.1532 1

---

Record 3
# PBE-GGA La2Hg2Pd, optimized geometry
# - Mass density: 9.60 g/cm3
# - N(E_F): 9.56 states/eV/cell
# - ΔE_f: -0.433 eV per atom
data_La2Hg2Pd
_space_group_name_H-M_alt 'P 1'
_space_group_IT_number 1
_space_group_name_Hall 'P 1'
_cell_length_a 7.5982
_cell_length_b 7.5982
_cell_length_c 4.7048
_cell_angle_alpha 90.00
_cell_angle_beta 90.00
_cell_angle_gamma 90.00
loop_
_atom_site_label
_atom_site_type_symbol
_atom_site_fract_x
_atom_site_fract_y
_atom_site_fract_z
_atom_site_occupancy
La1 La 0.6645 0.8355 0.5000 1
La2 La 0.3355 0.1645 0.5000 1
La3 La 0.1645 0.6645 0.5000 1
La4 La 0.8355 0.3355 0.5000 1
Hg1 Hg 0.6399 0.1399 0.0000 1
Hg2 Hg 0.8601 0.6399 0.0000 1
Hg3 Hg 0.3601 0.8601 0.0000 1
Hg4 Hg 0.1399 0.3601 0.0000 1
Pd1 Pd 0.5000 0.5000 0.0000 1
Pd2 Pd 0.0000 0.0000 0.0000 1

---

Record 4
# PBE-GGA La3Hg2Pd4, optimized geometry
# - Mass density: 9.61 g/cm3
# - N(E_F): 5.48 states/eV/cell
# - ΔE_f: -0.693 eV per atom
data_La3Hg2Pd4
_space_group_name_H-M_alt 'P 1'
_space_group_IT_number 1
_space_group_name_Hall 'P 1'
_cell_length_a 4.6727
_cell_length_b 5.5397
_cell_length_c 9.1657
_cell_angle_alpha 92.37
_cell_angle_beta 90.00
_cell_angle_gamma 114.94
loop_
_atom_site_label
_atom_site_type_symbol
_atom_site_fract_x
_atom_site_fract_y
_atom_site_fract_z
_atom_site_occupancy
Hg1 Hg 0.6778 0.3555 0.7765 1
Hg2 Hg 0.3222 0.6445 0.2235 1
Pd1 Pd 0.0770 0.1541 0.6292 1
Pd2 Pd 0.2883 0.5766 0.9147 1
Pd3 Pd 0.9230 0.8459 0.3708 1
Pd4 Pd 0.7117 0.4234 0.0853 1
La1 La 0.3719 0.7438 0.6153 1
La2 La 0.0000 0.0000 0.0000 1
La3 La 0.6281 0.2562 0.3847 1

---

Record 5
# PBE-GGA La4HgPd12, optimized geometry
# - Mass density: 10.05 g/cm3
# - N(E_F): 5.37 states/eV/cell
# - ΔE_f: -0.759 eV per atom
data_La4HgPd12
_space_group_name_H-M_alt 'P 1'
_space_group_IT_number 1
_space_group_name_Hall 'P 1'
_cell_length_a 7.5849
_cell_length_b 7.5849
_cell_length_c 7.5849
_cell_angle_alpha 109.47
_cell_angle_beta 109.47
_cell_angle_gamma 109.47
loop_
_atom_site_label
_atom_site_type_symbol
_atom_site_fract_x
_atom_site_fract_y
_atom_site_fract_z
_atom_site_occupancy
Pd1 Pd 0.3068 0.0000 0.3068 1
Pd2 Pd 0.0000 0.6932 0.6932 1
Pd3 Pd 0.2500 0.7500 0.5000 1
Pd4 Pd 0.7500 0.2500 0.5000 1
Pd5 Pd 0.6932 0.0000 0.6932 1
Pd6 Pd 0.7500 0.5000 0.2500 1
Pd7 Pd 0.6932 0.6932 0.0000 1
Pd8 Pd 0.2500 0.5000 0.7500 1
Pd9 Pd 0.5000 0.2500 0.7500 1
Pd10 Pd 0.0000 0.3068 0.3068 1
Pd11 Pd 0.3068 0.3068 0.0000 1
Pd12 Pd 0.5000 0.7500 0.2500 1
Hg1 Hg 0.0000 0.0000 0.0000 1
La1 La 0.0000 0.5000 0.0000 1
La2 La 0.0000 0.0000 0.5000 1
La3 La 0.5000 0.5000 0.5000 1
La4 La 0.5000 0.0000 0.0000 1

---

Record 6
# PBE-GGA La6HgPd5, optimized geometry
# - Mass density: 8.46 g/cm3
# - N(E_F): 11.17 states/eV/cell
# - ΔE_f: -0.700 eV per atom
data_La6HgPd5
_space_group_name_H-M_alt 'P 1'
_space_group_IT_number 1
_space_group_name_Hall 'P 1'
_cell_length_a 5.2418
_cell_length_b 7.4672
_cell_length_c 9.0722
_cell_angle_alpha 65.70
_cell_angle_beta 73.36
_cell_angle_gamma 90.00
loop_
_atom_site_label
_atom_site_type_symbol
_atom_site_fract_x
_atom_site_fract_y
_atom_site_fract_z
_atom_site_occupancy
La1 La 0.1739 0.9181 0.6513 1
La2 La 0.1738 0.4307 0.6514 1
La3 La 0.5001 0.7366 0.9999 1
La4 La 0.8261 0.0819 0.3487 1
La5 La 0.8262 0.5693 0.3486 1
La6 La 0.4999 0.2634 0.0001 1
Pd1 Pd 0.6646 0.6655 0.6687 1
Pd2 Pd 0.0000 0.5000 0.0000 1
Pd3 Pd 0.3489 0.8475 0.3049 1
Pd4 Pd 0.3354 0.3345 0.3313 1
Pd5 Pd 0.6511 0.1525 0.6951 1
Hg1 Hg 0.0000 0.0000 0.0000 1

---

Record 7
# PBE-GGA La2Hg3Pd, optimized geometry
# - Mass density: 10.54 g/cm3
# - N(E_F): 3.56 states/eV/cell
# - ΔE_f: -0.580 eV per atom
data_La2Hg3Pd
_space_group_name_H-M_alt 'P 1'
_space_group_IT_number 1
_space_group_name_Hall 'P 1'
_cell_length_a 3.6539
_cell_length_b 4.9376
_cell_length_c 8.6121
_cell_angle_alpha 90.00
_cell_angle_beta 90.00
_cell_angle_gamma 90.00
loop_
_atom_site_label
_atom_site_type_symbol
_atom_site_fract_x
_atom_site_fract_y
_atom_site_fract_z
_atom_site_occupancy
Hg1 Hg 0.5000 0.0000 0.1702 1
Hg2 Hg 0.5000 0.5000 0.6574 1
Hg3 Hg 0.5000 0.0000 0.8322 1
La1 La 0.0000 0.5000 0.0283 1
La2 La 0.0000 0.0000 0.4824 1
Pd1 Pd 0.5000 0.5000 0.3296 1

---

Record 8
# PBE-GGA LaHg6Pd6, optimized geometry
# - Mass density: 12.61 g/cm3
# - N(E_F): 4.09 states/eV/cell
# - ΔE_f: -0.341 eV per atom
data_LaHg6Pd6
_space_group_name_H-M_alt 'P 1'
_space_group_IT_number 1
_space_group_name_Hall 'P 1'
_cell_length_a 5.6543
_cell_length_b 7.3592
_cell_length_c 7.3592
_cell_angle_alpha 79.24
_cell_angle_beta 67.41
_cell_angle_gamma 67.41
loop_
_atom_site_label
_atom_site_type_symbol
_atom_site_fract_x
_atom_site_fract_y
_atom_site_fract_z
_atom_site_occupancy
La1 La 0.0000 0.0000 0.0000 1
Hg1 Hg 0.3173 0.1827 0.1827 1
Hg2 Hg 0.0000 0.3381 0.6619 1
Hg3 Hg 0.3437 0.6563 0.6563 1
Hg4 Hg 0.6827 0.8173 0.8173 1
Hg5 Hg 0.6563 0.3437 0.3437 1
Hg6 Hg 0.0000 0.6619 0.3381 1
Pd1 Pd 0.5000 0.0000 0.5000 1
Pd2 Pd 0.0000 0.0000 0.5000 1
Pd3 Pd 0.0000 0.5000 0.0000 1
Pd4 Pd 0.5000 0.5000 0.0000 1
Pd5 Pd 0.5000 0.7641 0.2359 1
Pd6 Pd 0.5000 0.2359 0.7641 1

---

Record 9
# PBE-GGA La5HgPd2, optimized geometry
# - Mass density: 7.84 g/cm3
# - N(E_F): 18.73 states/eV/cell
# - ΔE_f: -0.536 eV per atom
data_La5HgPd2
_space_group_name_H-M_alt 'P 1'
_space_group_IT_number 1
_space_group_name_Hall 'P 1'
_cell_length_a 8.2885
_cell_length_b 8.2885
_cell_length_c 9.0020
_cell_angle_alpha 117.41
_cell_angle_beta 117.41
_cell_angle_gamma 90.00
loop_
_atom_site_label
_atom_site_type_symbol
_atom_site_fract_x
_atom_site_fract_y
_atom_site_fract_z
_atom_site_occupancy
La1 La 0.3026 0.8026 0.2855 1
La2 La 0.0000 0.0000 0.0000 1
La3 La 0.0172 0.5172 0.7145 1
La4 La 0.5000 0.5000 0.0000 1
La5 La 0.5172 0.6974 0.7145 1
La6 La 0.1974 0.0172 0.7145 1
La7 La 0.6974 0.1974 0.7145 1
La8 La 0.9828 0.4828 0.2855 1
La9 La 0.4828 0.3026 0.2855 1
La10 La 0.8026 0.9828 0.2855 1
Pd1 Pd 0.3700 0.8700 0.0000 1
Pd2 Pd 0.6300 0.1300 0.0000 1
Pd3 Pd 0.8700 0.6300 0.0000 1
Pd4 Pd 0.1300 0.3700 0.0000 1
Hg1 Hg 0.2500 0.2500 0.5000 1
Hg2 Hg 0.7500 0.7500 0.5000 1

---

Record 10
# PBE-GGA LaHgPd3, optimized geometry
# - Mass density: 7.85 g/cm3
# - N(E_F): 2.83 states/eV/cell
# - ΔE_f: 0.484 eV per atom
data_LaHgPd3
_space_group_name_H-M_alt 'P 1'
_space_group_IT_number 1
_space_group_name_Hall 'P 1'
_cell_length_a 5.1841
_cell_length_b 5.1841
_cell_length_c 5.1841
_cell_angle_alpha 90.00
_cell_angle_beta 90.00
_cell_angle_gamma 90.00
loop_
_atom_site_label
_atom_site_type_symbol
_atom_site_fract_x
_atom_site_fract_y
_atom_site_fract_z
_atom_site_occupancy
Hg1 Hg 0.5000 0.5000 0.5000 1
La1 La 0.0000 0.0000 0.0000 1
Pd1 Pd 0.0000 0.0000 0.5000 1
Pd2 Pd 0.0000 0.5000 0.0000 1
Pd3 Pd 0.5000 0.0000 0.0000 1